# Ba2Li2In | the Alexandria database | SCAN | single point on PBEsol structure
data_Ba2Li2In
_chemical_formula_sum 'Ba4 Li4 In2'
_cell_length_a 7.6280
_cell_length_b 7.6280
_cell_length_c 5.4973
_cell_angle_alpha 90.00
_cell_angle_beta 90.00
_cell_angle_gamma 90.00
_symmetry_space_group_name_H-M 'P 4/m b m'
_symmetry_Int_Tables_number 127
_symmetry_space_group_name_Hall '-P 4 2ab'
loop_
_atom_site_label
_atom_site_fract_x
_atom_site_fract_y
_atom_site_fract_z
_atom_site_occupancy
Ba1 0.1968 0.3032 0.0000 1
Li1 0.1319 0.6319 0.5000 1
In1 0.0000 0.0000 0.5000 1
# **E_form**: -0.1640 eV/atom
# **Energy relative to the lowest polymorph listed for this composition**: 18 meV/atom